{"formula": "YV3O", "functional": "GGA+U", "state": "optimized geometry", "lattice": [[4.4819, 0.0000, 0.0000], [0.0000, 4.4819, 0.0000], [0.0000, 0.0000, 4.4819]], "species": ["Y", "V", "V", "V", "O"], "frac_coords": [[0.0000, 0.0000, 0.0000], [0.0000, 0.5000, 0.5000], [0.5000, 0.0000, 0.5000], [0.5000, 0.5000, 0.0000], [0.5000, 0.5000, 0.5000]], "polymorph_energy_kj_per_mol_atoms": 0.0, "n_ef_per_ev_fu": 2.16, "energy_ev_per_atom": -6.56}